one) # PrHoSi

An optimized crystal structure of PrHoSi (PBE, Alexandria via LeMat-Bulk).

The value obtained for the volume is 86 Å³ per cell. As for the symmetry: F-43m, No. 216.

Cell and atoms, written as POSCAR:
```
PrHoSi
1.0
0.000 3.499 3.499
3.499 0.000 3.499
3.499 3.499 0.000
Pr Ho Si
1 1 1
direct
0.000 0.000 0.000
0.500 0.500 0.500
0.750 0.750 0.750
```

two) # PrHoSi

An optimized crystal structure of PrHoSi (PBE, Alexandria via LeMat-Bulk).

The value obtained for the volume is 164 Å³ per cell. As for the symmetry: C2/m, No. 12.

Cell and atoms, written as POSCAR:
```
PrHoSi
1.0
5.840 -2.141 0.000
5.840 2.141 0.000
-5.036 0.000 6.559
Pr Ho Si
2 2 2
direct
0.085 0.085 0.358
0.915 0.915 0.642
0.321 0.321 0.923
0.679 0.679 0.077
0.379 0.379 0.337
0.621 0.621 0.663
```

Which structure is the most stable? The one labeled two).

one) # Pr2HoSi2

An optimized crystal structure of Pr2HoSi2 (PBE, Alexandria via LeMat-Bulk).

The value obtained for the volume is 264 Å³ per cell. As for the symmetry: C2/m, No. 12.

Cell and atoms, written as POSCAR:
```
Pr2HoSi2
1.0
6.254 -2.191 0.000
6.254 2.191 0.000
-4.902 0.000 9.646
Pr Ho Si
4 2 4
direct
0.015 0.015 0.188
0.179 0.179 0.591
0.821 0.821 0.409
0.985 0.985 0.812
0.275 0.275 0.132
0.725 0.725 0.868
0.390 0.390 0.946
0.491 0.491 0.606
0.509 0.509 0.394
0.610 0.610 0.054
```

two) # Pr2HoSi2

An optimized crystal structure of Pr2HoSi2 (PBE, Alexandria via LeMat-Bulk).

The value obtained for the volume is 258 Å³ per cell. As for the symmetry: P4/mbm, No. 127.

Cell and atoms, written as POSCAR:
```
Pr2HoSi2
1.0
7.631 0.000 0.000
0.000 7.631 0.000
0.000 0.000 4.435
Pr Ho Si
4 2 4
direct
0.177 0.323 0.000
0.323 0.823 0.000
0.677 0.177 0.000
0.823 0.677 0.000
0.000 0.000 0.500
0.500 0.500 0.500
0.114 0.614 0.500
0.386 0.114 0.500
0.614 0.886 0.500
0.886 0.386 0.500
```

Which structure is the most stable? The one labeled two).

one) # PrHoSi2

An optimized crystal structure of PrHoSi2 (PBE, Alexandria via LeMat-Bulk).

The value obtained for the volume is 92 Å³ per cell. As for the symmetry: Amm2, No. 38.

Cell and atoms, written as POSCAR:
```
PrHoSi2
1.0
3.895 0.000 0.000
0.000 2.195 5.397
0.000 -2.195 5.397
Pr Ho Si
1 1 2
direct
0.000 0.000 0.000
0.500 0.280 0.280
0.000 0.717 0.717
0.500 0.570 0.570
```

two) # PrHoSi2

An optimized crystal structure of PrHoSi2 (PBE, Alexandria via LeMat-Bulk).

The value obtained for the volume is 99 Å³ per cell. As for the symmetry: R-3m, No. 166.

Cell and atoms, written as POSCAR:
```
PrHoSi2
1.0
2.320 1.339 5.308
-2.320 1.339 5.308
0.000 -2.679 5.308
Pr Ho Si
1 1 2
direct
0.000 0.000 0.000
0.500 0.500 0.500
0.239 0.239 0.239
0.761 0.761 0.761
```

Which structure is the most stable? The one labeled one).

one) # Pr2HoSi

An optimized crystal structure of Pr2HoSi (PBE, Alexandria via LeMat-Bulk).

The value obtained for the volume is 128 Å³ per cell. As for the symmetry: R-3m, No. 166.

Cell and atoms, written as POSCAR:
```
Pr2HoSi
1.0
1.926 1.112 9.952
-1.926 1.112 9.952
0.000 -2.223 9.952
Pr Ho Si
2 1 1
direct
0.232 0.232 0.232
0.768 0.768 0.768
0.000 0.000 0.000
0.500 0.500 0.500
```

two) # Pr2HoSi

An optimized crystal structure of Pr2HoSi (PBE, Alexandria via LeMat-Bulk).

The value obtained for the volume is 108 Å³ per cell. As for the symmetry: P4/mmm, No. 123.

Cell and atoms, written as POSCAR:
```
Pr2HoSi
1.0
4.740 0.000 0.000
0.000 4.740 0.000
0.000 0.000 4.805
Pr Ho Si
2 1 1
direct
0.000 0.500 0.000
0.500 0.000 0.000
0.000 0.000 0.500
0.500 0.500 0.500
```

Which structure is the most stable? The one labeled two).

one) # PrHo2Si

An optimized crystal structure of PrHo2Si (PBE, Alexandria via LeMat-Bulk).

The value obtained for the volume is 119 Å³ per cell. As for the symmetry: R3m, No. 160.

Cell and atoms, written as POSCAR:
```
PrHo2Si
1.0
1.879 1.085 9.729
-1.879 1.085 9.729
0.000 -2.170 9.729
Pr Ho Si
1 2 1
direct
0.000 0.000 0.000
0.561 0.561 0.561
0.770 0.770 0.770
0.165 0.165 0.165
```

two) # PrHo2Si

An optimized crystal structure of PrHo2Si (PBE, Alexandria via LeMat-Bulk).

The value obtained for the volume is 121 Å³ per cell. As for the symmetry: R-3m, No. 166.

Cell and atoms, written as POSCAR:
```
PrHo2Si
1.0
1.791 1.034 10.881
-1.791 1.034 10.881
0.000 -2.068 10.881
Pr Ho Si
1 2 1
direct
0.000 0.000 0.000
0.108 0.108 0.108
0.892 0.892 0.892
0.500 0.500 0.500
```

Which structure is the most stable? The one labeled one).

one) # PrHoZnSi

An optimized crystal structure of PrHoZnSi (PBE, Alexandria via LeMat-Bulk).

The value obtained for the volume is 92 Å³ per cell. As for the symmetry: F-43m, No. 216.

Cell and atoms, written as POSCAR:
```
PrHoZnSi
1.0
0.000 3.589 3.589
3.589 0.000 3.589
3.589 3.589 0.000
Pr Ho Zn Si
1 1 1 1
direct
0.000 0.000 0.000
0.500 0.500 0.500
0.250 0.250 0.250
0.750 0.750 0.750
```

two) # PrHoZnSi

An optimized crystal structure of PrHoZnSi (PBE, Alexandria via LeMat-Bulk).

The value obtained for the volume is 97 Å³ per cell. As for the symmetry: Amm2, No. 38.

Cell and atoms, written as POSCAR:
```
PrHoZnSi
1.0
4.084 0.000 0.000
0.000 2.118 5.591
0.000 -2.118 5.591
Pr Ho Zn Si
1 1 1 1
direct
0.000 0.000 0.000
0.500 0.285 0.285
0.500 0.583 0.583
0.000 0.720 0.720
```

Which structure is the most stable? The one labeled two).

one) # Pr2Sm2Ho

An optimized crystal structure of Pr2Sm2Ho (PBE, Alexandria via LeMat-Bulk).

The value obtained for the volume is 347 Å³ per cell. As for the symmetry: Imma, No. 74.

Cell and atoms, written as POSCAR:
```
Pr2Sm2Ho
1.0
-1.837 2.916 16.184
1.837 -2.916 16.184
1.837 2.916 -16.184
Pr Sm Ho
4 4 2
direct
0.271 0.021 0.250
0.370 0.120 0.250
0.630 0.880 0.750
0.729 0.979 0.750
0.056 0.806 0.250
0.458 0.708 0.750
0.542 0.292 0.250
0.944 0.194 0.750
0.170 0.420 0.750
0.830 0.580 0.250
```

two) # Pr2Sm2Ho

An optimized crystal structure of Pr2Sm2Ho (PBE, Alexandria via LeMat-Bulk).

The value obtained for the volume is 173 Å³ per cell. As for the symmetry: C2/m, No. 12.

Cell and atoms, written as POSCAR:
```
Pr2Sm2Ho
1.0
5.963 -1.758 0.000
5.963 1.758 0.000
-3.269 0.000 8.261
Pr Sm Ho
2 2 1
direct
0.177 0.177 0.298
0.823 0.823 0.702
0.393 0.393 0.089
0.607 0.607 0.911
0.500 0.500 0.500
```

Which structure is the most stable? The one labeled one).

one) # Pr4Sm3Ho

An optimized crystal structure of Pr4Sm3Ho (PBE, Alexandria via LeMat-Bulk).

The value obtained for the volume is 553 Å³ per cell. As for the symmetry: Pmna, No. 53.

Cell and atoms, written as POSCAR:
```
Pr4Sm3Ho
1.0
10.359 0.000 0.000
0.000 7.309 0.000
0.000 0.000 7.308
Pr Sm Ho
8 6 2
direct
0.000 0.000 0.000
0.000 0.500 0.500
0.250 0.249 0.250
0.250 0.751 0.750
0.500 0.000 0.500
0.500 0.500 0.000
0.750 0.249 0.250
0.750 0.751 0.750
0.000 0.500 0.000
0.250 0.249 0.750
0.250 0.751 0.250
0.500 0.500 0.500
0.750 0.249 0.750
0.750 0.751 0.250
0.000 0.000 0.500
0.500 0.000 0.000
```

two) # Pr4Sm3Ho

An optimized crystal structure of Pr4Sm3Ho (PBE, Alexandria via LeMat-Bulk).

The value obtained for the volume is 559 Å³ per cell. As for the symmetry: Pmn2_1, No. 31.

Cell and atoms, written as POSCAR:
```
Pr4Sm3Ho
1.0
11.845 0.000 0.000
0.000 7.391 0.000
0.000 0.000 6.383
Pr Sm Ho
8 6 2
direct
0.000 0.127 0.000
0.000 0.873 0.495
0.248 0.872 0.833
0.252 0.128 0.333
0.500 0.127 0.995
0.500 0.873 0.500
0.748 0.128 0.333
0.752 0.872 0.833
0.000 0.377 0.500
0.250 0.378 0.831
0.250 0.622 0.331
0.500 0.623 0.000
0.750 0.378 0.831
0.750 0.622 0.331
0.000 0.621 0.998
0.500 0.379 0.498
```

Which structure is the most stable? The one labeled one).

one) # PrSmHo

An optimized crystal structure of PrSmHo (PBE, Alexandria via LeMat-Bulk).

The value obtained for the volume is 202 Å³ per cell. As for the symmetry: Cmcm, No. 63.

Cell and atoms, written as POSCAR:
```
PrSmHo
1.0
1.787 -10.262 0.000
1.787 10.262 0.000
0.000 0.000 5.504
Pr Sm Ho
2 2 2
direct
0.206 0.794 0.750
0.794 0.206 0.250
0.041 0.959 0.750
0.959 0.041 0.250
0.383 0.617 0.750
0.617 0.383 0.250
```

two) # PrSmHo

An optimized crystal structure of PrSmHo (PBE, Alexandria via LeMat-Bulk).

The value obtained for the volume is 101 Å³ per cell. As for the symmetry: I4mm, No. 107.

Cell and atoms, written as POSCAR:
```
PrSmHo
1.0
-1.815 1.815 7.675
1.815 -1.815 7.675
1.815 1.815 -7.675
Pr Sm Ho
1 1 1
direct
0.000 0.000 0.000
0.671 0.671 0.000
0.334 0.334 0.000
```

three) # PrSmHo

An optimized crystal structure of PrSmHo (PBE, Alexandria via LeMat-Bulk).

The value obtained for the volume is 202 Å³ per cell. As for the symmetry: P-1, No. 2.

Cell and atoms, written as POSCAR:
```
PrSmHo
1.0
3.604 0.000 0.000
1.800 3.152 0.000
0.025 0.013 17.740
Pr Sm Ho
2 2 2
direct
0.006 0.485 0.246
0.994 0.515 0.754
0.336 0.828 0.418
0.664 0.172 0.582
0.335 0.825 0.079
0.665 0.175 0.921
```

four) # PrSmHo

An optimized crystal structure of PrSmHo (PBE, Alexandria via LeMat-Bulk).

The value obtained for the volume is 100 Å³ per cell. As for the symmetry: P3m1, No. 156.

Cell and atoms, written as POSCAR:
```
PrSmHo
1.0
5.730 0.000 0.000
-2.865 4.962 0.000
0.000 0.000 3.524
Pr Sm Ho
1 1 1
direct
0.000 0.000 0.000
0.667 0.333 0.499
0.333 0.667 0.998
```

Which structure is the most stable? The one labeled three).

one) # Pr3Sm6Ho2

An optimized crystal structure of Pr3Sm6Ho2 (PBE, Alexandria via LeMat-Bulk).

The value obtained for the volume is 376 Å³ per cell. As for the symmetry: R-3m, No. 166.

Cell and atoms, written as POSCAR:
```
Pr3Sm6Ho2
1.0
1.823 1.053 32.656
-1.823 1.053 32.656
0.000 -2.105 32.656
Pr Sm Ho
3 6 2
direct
0.000 0.000 0.000
0.061 0.061 0.061
0.939 0.939 0.939
0.120 0.120 0.120
0.303 0.303 0.303
0.483 0.483 0.483
0.517 0.517 0.517
0.697 0.697 0.697
0.880 0.880 0.880
0.424 0.424 0.424
0.576 0.576 0.576
```

two) # Pr3Sm6Ho2

An optimized crystal structure of Pr3Sm6Ho2 (PBE, Alexandria via LeMat-Bulk).

The value obtained for the volume is 392 Å³ per cell. As for the symmetry: I4/mmm, No. 139.

Cell and atoms, written as POSCAR:
```
Pr3Sm6Ho2
1.0
-2.415 2.415 16.813
2.415 -2.415 16.813
2.415 2.415 -16.813
Pr Sm Ho
3 6 2
direct
0.000 0.000 0.000
0.203 0.203 0.000
0.797 0.797 0.000
0.119 0.619 0.500
0.306 0.306 0.000
0.381 0.881 0.500
0.619 0.119 0.500
0.694 0.694 0.000
0.881 0.381 0.500
0.454 0.454 0.000
0.546 0.546 0.000
```

Which structure is the most stable? The one labeled one).

one) # PrSmHo3

An optimized crystal structure of PrSmHo3 (PBE, Alexandria via LeMat-Bulk).

The value obtained for the volume is 329 Å³ per cell. As for the symmetry: P-1, No. 2.

Cell and atoms, written as POSCAR:
```
PrSmHo3
1.0
6.513 0.000 0.000
-3.237 5.682 0.000
-3.114 -1.834 8.886
Pr Sm Ho
2 2 6
direct
0.000 0.000 0.000
0.000 0.500 0.500
0.297 0.441 0.309
0.703 0.559 0.691
0.130 0.137 0.687
0.306 0.652 0.953
0.448 0.011 0.312
0.552 0.989 0.688
0.694 0.348 0.047
0.870 0.863 0.313
```

two) # PrSmHo3

An optimized crystal structure of PrSmHo3 (PBE, Alexandria via LeMat-Bulk).

The value obtained for the volume is 357 Å³ per cell. As for the symmetry: P2_1/m, No. 11.

Cell and atoms, written as POSCAR:
```
PrSmHo3
1.0
3.645 0.000 0.000
0.000 11.635 0.000
-1.820 0.000 8.413
Pr Sm Ho
2 2 6
direct
0.189 0.250 0.378
0.811 0.750 0.622
0.483 0.750 0.970
0.517 0.250 0.030
0.148 0.750 0.298
0.344 0.003 0.687
0.344 0.497 0.687
0.656 0.503 0.313
0.656 0.997 0.313
0.852 0.250 0.702
```

Which structure is the most stable? The one labeled one).